Below is a geometry-optimized RuS structure, with properties calculated at the PBE-GGA level.

Its magnetization is 0.0 μB per formula unit. Its uncorrected formation energy is -132 meV/atom. As for the theoretical density: 7.20 g/cm3. The value obtained for the density of states at the Fermi level is 0.74 states/eV per atom.

The space group is Cm (No. 8) and the conventional cell measures 7.817, 3.021 and 6.283 Å, with angles of 90.00, 124.11 and 90.00 degrees. Symmetry generates all atoms from Ru at (0.000, 0.000, 0.000), Ru at (0.139, 0.500, 0.488), S at (0.222, 0.000, 0.839) and S at (0.303, 0.000, 0.385).